Entry 1:
10
Lattice="-6.2626 -0.1576 -1.3022 0.4761 -7.4682 -1.3856 -1.5252 2.4664 7.0365" Properties=species:S:1:pos:R:3 comment="NdYTl3, relaxed, DFT PBE" rho_g_cm3=8.75 sg="No. 63" e_form_ev_per_atom=0.00 pbc="T T T"
Tl -5.2190 -0.6348 1.5964
Tl -5.6294 -2.5913 3.8068
Tl -1.6824 -2.5681 0.5418
Tl -1.4959 -5.4908 -0.0014
Tl -5.8159 0.3313 4.3500
Tl -2.0928 -4.5246 2.7522
Y -4.8885 -4.2725 0.4471
Y -2.4233 -0.8869 3.9015
Nd 0.0000 0.0000 0.0000
Nd -3.1313 -0.0788 -0.6511

***

Entry 2:
6
Lattice="5.6896 0.0000 0.0000 2.8448 4.9273 0.0000 2.8448 1.6424 4.6455" Properties=species:S:1:pos:R:3 comment="TeAu2, relaxed, DFT PBE" rho_g_cm3=13.30 sg="No. 227" pbc="T T T"
Te 2.8448 1.6424 1.1614
Te 0.0000 0.0000 0.0000
Au 7.1120 4.1061 2.9035
Au 5.6896 3.2849 0.5807
Au 5.6896 1.6424 2.9035
Au 4.2672 4.1061 2.9035

***

Entry 3:
16
Lattice="5.9953 0.0552 0.0000 -2.0493 5.6346 0.0000 0.0000 0.0000 6.9266" Properties=species:S:1:pos:R:3 comment="Dy3ErN4, relaxed, DFT PBE" rho_g_cm3=10.05 sg="No. 13" pbc="T T T"
N 4.4523 4.2931 6.0718
N 1.4547 4.2655 0.8549
N -0.5064 1.3966 0.8549
N 2.4796 1.4329 2.5925
N -1.5313 4.2293 2.5925
N 5.4772 1.4605 4.3342
N 2.4912 1.4242 6.0718
N 1.4663 4.2569 4.3342
Dy 0.4741 2.8311 6.0651
Dy 4.4965 0.0414 2.5953
Dy 3.4718 2.8587 4.3311
Dy 3.4718 2.8587 0.8615
Dy 1.4988 0.0138 4.3313
Dy 0.4741 2.8311 2.5955
Er 4.4965 0.0414 6.0655
Er 1.4988 0.0138 0.8612

***

Entry 4:
4
Lattice="6.1176 0.2527 0.0000 2.2948 5.6765 0.0000 -4.2062 -2.9646 3.3178" Properties=species:S:1:pos:R:3 comment="Tl2SbSe, relaxed, DFT PBE" rho_g_cm3=8.93 polymorph_energy_mev_per_atom=157.5 sg="No. 119" pbc="T T T"
Tl 1.1474 2.8383 1.6589
Tl 0.0000 0.0000 0.0000
Sb 4.2062 2.9646 0.0000
Se 3.0588 0.1264 1.6589

***

Entry 5:
10
Lattice="4.2216 0.0000 0.0000 0.0000 4.2216 0.0000 0.0000 0.0000 16.2441" Properties=species:S:1:pos:R:3 comment="CeBiTe2O, relaxed, DFT PBE" rho_g_cm3=7.12 sg="No. 129" pbc="T T T"
Bi 2.1108 0.0000 2.2859
Bi 0.0000 2.1108 13.9581
Ce 2.1108 0.0000 9.2530
Ce 0.0000 2.1108 6.9911
Te 2.1108 0.0000 14.8477
Te 0.0000 2.1108 1.3963
Te 0.0000 2.1108 10.9660
Te 2.1108 0.0000 5.2780
O 0.0000 0.0000 8.1220
O 2.1108 2.1108 8.1220

***

Entry 6:
21
Lattice="9.5744 0.0000 0.0000 -4.7872 8.2917 0.0000 0.0000 0.0000 3.8923" Properties=species:S:1:pos:R:3 comment="La2Mn3Cu9P7, relaxed, DFT PBE" rho_g_cm3=6.62 sg="No. 174" e_form_ev_per_atom=-0.44 pbc="T T T"
Cu 7.6834 1.3142 0.0000
Cu 4.5946 5.9969 0.0000
Cu 3.1876 4.7902 1.9462
Cu 7.3418 3.1360 1.9462
Cu -2.5243 5.2143 0.0000
Cu 0.9906 7.8707 0.0000
Cu 1.5337 3.4984 0.0000
Cu 3.8322 0.3655 1.9462
Cu 2.0836 0.9806 0.0000
Mn 3.1811 7.5614 1.9462
Mn -3.3517 7.2659 1.9462
Mn 0.1706 1.7561 1.9462
P 2.4944 2.4551 1.9462
P -0.8552 3.4121 0.0000
P 5.6662 4.9039 1.9462
P -1.4047 7.3262 0.0000
P 2.2598 5.8450 0.0000
P 0.0000 0.0000 0.0000
P 6.2010 0.9327 1.9462
La 0.0000 5.5278 1.9462
La 4.7872 2.7639 0.0000

***

Entry 7:
4
Lattice="-3.1380 2.2153 -0.0928 0.1857 -2.9666 2.4439 4.0905 5.9587 3.9219" Properties=species:S:1:pos:R:3 comment="Y2TlS, relaxed, DFT PBE" rho_g_cm3=6.78 polymorph_energy_mev_per_atom=0.0 sg="No. 12" pbc="T T T"
Tl -1.4761 -0.3757 1.1755
Y 0.3879 2.2669 1.2265
Y 0.7504 2.9405 5.0465
S 2.1381 1.4960 3.1829

***

Entry 8:
10
Lattice="6.4374 0.4081 -0.3683 3.0271 8.4065 0.3022 1.6667 5.0041 5.6199" Properties=species:S:1:pos:R:3 comment="RbCrCl3, relaxed, DFT PBE" rho_g_cm3=2.82 sg="No. 1" pbc="T T T"
Rb 4.2570 2.2178 1.2877
Rb 3.3875 6.6157 3.0329
Cl 6.5792 7.4152 2.3078
Cl 0.2662 0.1398 0.0716
Cl 6.1202 10.3557 5.5628
Cl 9.4786 9.9622 4.1495
Cl 1.3959 3.8567 2.1725
Cl 5.3701 4.4752 4.3197
Cr 6.9404 6.0552 0.4651
Cr 4.1437 11.6155 5.0111

***

The total energy results, record by record, are as follows: -3.664 -3.014 -8.183 -3.025 -5.684 -5.776 -6.059 -4.504 eV/atom.
The total magnetic moment results, record by record, are as follows: 0.000 0.000 0.000 0.000 0.818 11.856 0.000 3.000 μB per formula unit.